1.
## Sc2Zn16Os (PBE-GGA)

Data for a relaxed Sc2Zn16Os crystal.

The value obtained for the spin magnetization is 0.0000 μB per atom. As for the total energy: -2.4572 eV/atom.

It has space group R3m (No. 160, hexagonal axes), with a = 8.8690 Å, b = 8.8690 Å, c = 13.0024 Å, α = 90.00°, β = 90.00° and γ = 120.00°. Symmetry generates all atoms from Sc at (0.0000, 0.0000, 0.0000), Sc at (0.0000, 0.0000, 0.3527), Zn at (0.0000, 0.0000, 0.7677), Zn at (0.0007, 0.5004, 0.8060), Zn at (0.0017, 0.5009, 0.1622), Zn at (0.0430, 0.3752, 0.3266), Zn at (0.1781, 0.3563, 0.8480) and Os at (0.0000, 0.0000, 0.5627).

2.
## Cs3La3BiO8 (PBE-GGA)

Data for a relaxed Cs3La3BiO8 crystal.

The value obtained for the spin magnetization is 0.0000 μB per atom. As for the uncorrected formation energy: -2.293 eV per atom.

It has space group R-3m (No. 166, hexagonal axes), with a = 7.4243 Å, b = 7.4243 Å, c = 21.0799 Å, α = 90.00°, β = 90.00° and γ = 120.00°. Symmetry generates all atoms from Cs at (0.0000, 0.5000, 0.0000), La at (0.0000, 0.5000, 0.5000), Bi at (0.0000, 0.0000, 0.5000), O at (0.0000, 0.0000, 0.2204) and O at (0.0186, 0.5093, 0.2214).

3.
## CaMg6Mo (PBE-GGA)

Data for a relaxed CaMg6Mo crystal.

The value obtained for the spin magnetization is 0.0000 μB per atom. As for the total energy: -2.6415 eV/atom.

It has space group P4/mmm (No. 123), with a = 6.395 Å, b = 6.395 Å, c = 4.341 Å, α = 90.00°, β = 90.00° and γ = 90.00°. Symmetry generates all atoms from Ca at (0.000, 0.000, 0.000), Mg at (0.000, 0.500, 0.000), Mg at (0.275, 0.275, 0.500) and Mo at (0.500, 0.500, 0.000).

4.
## Na3Pu3MgSe8 (PBE-GGA)

Data for a relaxed Na3Pu3MgSe8 crystal.

The value obtained for the spin magnetization is 0.8667 μB per atom. As for the uncorrected formation energy: -1.279 eV per atom.

It has space group R-3m (No. 166, hexagonal axes), with a = 8.2336 Å, b = 8.2336 Å, c = 20.9242 Å, α = 90.00°, β = 90.00° and γ = 120.00°. Symmetry generates all atoms from Na at (0.0000, 0.5000, 0.0000), Pu at (0.0000, 0.5000, 0.5000), Mg at (0.0000, 0.0000, 0.5000), Se at (0.0000, 0.0000, 0.2436) and Se at (0.0031, 0.5016, 0.2398).

5.
## Nd2Zn4Ga3Hg (PBE-GGA)

Data for a relaxed Nd2Zn4Ga3Hg crystal.

The value obtained for the spin magnetization is 0.0000 μB per atom. As for the total energy: -2.8248 eV/atom.

It has space group P-4m2 (No. 115), with a = 4.310 Å, b = 4.310 Å, c = 10.767 Å, α = 90.00°, β = 90.00° and γ = 90.00°. Symmetry generates all atoms from Nd at (0.000, 0.500, 0.241), Zn at (0.000, 0.000, 0.000), Zn at (0.000, 0.500, 0.644), Zn at (0.500, 0.500, 0.000), Ga at (0.000, 0.500, 0.870), Ga at (0.500, 0.500, 0.500) and Hg at (0.000, 0.000, 0.500).